[1]
This record from Alexandria describes Ho3TmTe6 after structural relaxation. The functional is GGA-PBE.

## Properties
**Magnetic moment**: 0.00 μB per formula unit
**Energy relative to the elements, uncorrected**: -1.32 eV per atom
**Uncorrected energy**: -5.029 eV/atom
**ΔE to the lowest computed polymorph**: 0.0 meV per atom
**Calculated volume**: 32.49 Å³ per atom
**Symmetry**: P2_1/c (14)

a = 7.2908 Å, b = 8.0019 Å, c = 11.1389 Å
α = 90.00°, β = 90.20°, γ = 90.00°
With the nearest neighbours (Å) after each atom.
Fractional coordinates of all 20 atoms:
1 Ho 0.0000 0.0000 0.5000  6 Te 2.98-3.07
2 Ho 0.5000 0.5000 0.0000  6 Te 2.98-3.07
3 Ho 0.4468 0.1213 0.2509  6 Te 3.06-3.24
4 Ho 0.0532 0.6213 0.2491  6 Te 3.06-3.24
5 Ho 0.9468 0.3787 0.7509  6 Te 3.06-3.24
6 Ho 0.5532 0.8787 0.7491  6 Te 3.06-3.24
7 Te 0.8363 0.6736 0.5820  1 Tm 2.96, 3 Ho 3.01-3.23
8 Te 0.8340 0.9481 0.2487  1 Tm 3.06, 3 Ho 3.06-3.14
9 Te 0.8382 0.6754 0.9184  3 Ho 2.98-3.24, 1 Tm 2.99
10 Te 0.3340 0.5519 0.7487  1 Tm 3.06, 3 Ho 3.06-3.14
11 Te 0.3363 0.8264 0.0820  1 Tm 2.96, 3 Ho 3.01-3.23
12 Te 0.6637 0.1736 0.9180  1 Tm 2.96, 3 Ho 3.01-3.23
13 Te 0.6660 0.4481 0.2513  1 Tm 3.06, 3 Ho 3.06-3.14
14 Te 0.3382 0.8246 0.4184  3 Ho 2.98-3.24, 1 Tm 2.99
15 Te 0.1637 0.3264 0.4180  1 Tm 2.96, 3 Ho 3.01-3.23
16 Te 0.1660 0.0519 0.7513  1 Tm 3.06, 3 Ho 3.06-3.14
17 Te 0.1618 0.3246 0.0816  3 Ho 2.98-3.24, 1 Tm 2.99
18 Te 0.6618 0.1754 0.5816  3 Ho 2.98-3.24, 1 Tm 2.99
19 Tm 0.5000 0.5000 0.5000  6 Te 2.96-3.06
20 Tm 0.0000 0.0000 0.0000  6 Te 2.96-3.06

[2]
This record from Alexandria describes Ho4Tm3Te8 after structural relaxation. The functional is GGA-PBE.

## Properties
**Magnetic moment**: 0.00 μB per formula unit
**Energy relative to the elements, uncorrected**: -1.31 eV per atom
**Uncorrected energy**: -5.100 eV/atom
**Calculated volume**: 30.04 Å³ per atom
**Symmetry**: C2/m (12)

a = 8.6032 Å, b = 8.6069 Å, c = 8.6069 Å
α = 89.99°, β = 120.00°, γ = 120.00°
With the nearest neighbours (Å) after each atom.
Fractional coordinates of all 15 atoms:
1 Te 0.0000 0.7438 0.2562  2 Tm 3.04, 3 Ho 3.04-3.12
2 Te 0.5000 0.7490 0.2510  3 Tm 3.03-3.04, 3 Ho 3.04-3.05
3 Te 0.0020 0.2572 0.2572  1 Tm 3.03, 4 Ho 3.04-3.12
4 Te 0.4874 0.7427 0.7427  3 Tm 3.03-3.04, 2 Ho 3.06-3.12
5 Te 0.0000 0.2562 0.7438  2 Tm 3.04, 3 Ho 3.04-3.12
6 Te 0.5000 0.2510 0.7490  3 Tm 3.03-3.04, 3 Ho 3.04-3.05
7 Te 0.5126 0.2573 0.2573  3 Tm 3.03-3.04, 2 Ho 3.06-3.12
8 Te 0.9980 0.7428 0.7428  1 Tm 3.03, 4 Ho 3.04-3.12
9 Ho 0.0000 0.0000 0.0000  6 Te 3.12
10 Ho 0.0000 0.0000 0.5000  6 Te 3.04
11 Ho 0.0000 0.5000 0.0000  6 Te 3.04
12 Ho 0.5000 0.0000 0.0000  6 Te 3.05-3.06
13 Tm 0.5000 0.5000 0.0000  6 Te 3.04
14 Tm 0.5000 0.5000 0.5000  6 Te 3.03
15 Tm 0.5000 0.0000 0.5000  6 Te 3.04

[3]
This record from Alexandria describes Ho2TmTe2 after structural relaxation. The functional is GGA-PBE.

## Properties
**Magnetic moment**: 0.00 μB per formula unit
**Energy relative to the elements, uncorrected**: -0.95 eV per atom
**Uncorrected energy**: -4.929 eV/atom
**Calculated volume**: 29.48 Å³ per atom
**Symmetry**: P2_1/m (11)

a = 4.0645 Å, b = 6.1442 Å, c = 11.9827 Å
α = 99.87°, β = 90.00°, γ = 90.00°
With the nearest neighbours (Å) after each atom.
Fractional coordinates of all 10 atoms:
1 Ho 0.7500 0.6053 0.2389  4 Te 3.05-3.18
2 Ho 0.7500 0.7776 0.6222  6 Te 3.07-3.14
3 Ho 0.2500 0.2224 0.3778  6 Te 3.07-3.14
4 Ho 0.2500 0.3947 0.7611  4 Te 3.05-3.18
5 Te 0.2500 0.9199 0.8188  4 Ho 3.11-3.18, 3 Tm 3.11-3.14
6 Te 0.7500 0.2625 0.5721  6 Ho 3.05-3.14
7 Te 0.7500 0.0801 0.1812  4 Ho 3.11-3.18, 3 Tm 3.11-3.14
8 Te 0.2500 0.7375 0.4279  6 Ho 3.05-3.14
9 Tm 0.7500 0.7087 0.9654  3 Te 3.11-3.14, 1 Ho 3.44, 2 Tm 3.48
10 Tm 0.2500 0.2913 0.0346  3 Te 3.11-3.14, 1 Ho 3.44, 2 Tm 3.48

[4]
This record from Alexandria describes Ho3TmTe4 after structural relaxation. The functional is GGA-PBE.

## Properties
**Magnetic moment**: 0.00 μB per formula unit
**Energy relative to the elements, uncorrected**: -1.22 eV per atom
**Uncorrected energy**: -5.071 eV/atom
**ΔE to the lowest computed polymorph**: 0.0 meV per atom
**Calculated volume**: 28.62 Å³ per atom
**Symmetry**: Cmmm (65)

a = 4.2613 Å, b = 7.5309 Å, c = 7.5309 Å
α = 108.69°, β = 90.00°, γ = 90.00°
With the nearest neighbours (Å) after each atom.
Fractional coordinates of all 8 atoms:
1 Ho 0.0000 0.5000 0.0000  6 Te 3.06
2 Ho 0.0000 0.0000 0.5000  6 Te 3.06
3 Ho 0.5000 0.5000 0.5000  6 Te 3.07
4 Tm 0.5000 0.0000 0.0000  6 Te 3.05
5 Te 0.0000 0.2479 0.2479  2 Tm 3.05, 4 Ho 3.06-3.07
6 Te 0.5000 0.7512 0.2488  1 Tm 3.05, 5 Ho 3.06-3.07
7 Te 0.5000 0.2488 0.7512  1 Tm 3.05, 5 Ho 3.06-3.07
8 Te 0.0000 0.7521 0.7521  2 Tm 3.05, 4 Ho 3.06-3.07

[5]
This record from Alexandria describes HoTm3Te4 after structural relaxation. The functional is GGA-PBE.

## Properties
**Magnetic moment**: 2.03 μB per formula unit
**Energy relative to the elements, uncorrected**: -0.91 eV per atom
**Uncorrected energy**: -4.728 eV/atom
**ΔE to the lowest computed polymorph**: 278.5 meV per atom
**Calculated volume**: 36.89 Å³ per atom
**Symmetry**: Pmn2_1 (31)

a = 8.1690 Å, b = 7.8457 Å, c = 9.2102 Å
α = 90.00°, β = 90.00°, γ = 90.00°
With the nearest neighbours (Å) after each atom.
Fractional coordinates of all 16 atoms:
1 Ho 0.9590 0.1184 0.0000  4 Te 3.03-3.04
2 Ho 0.4590 0.8816 0.5000  4 Te 3.03-3.04
3 Tm 0.9609 0.7120 0.8008  4 Te 3.00-3.04
4 Tm 0.9609 0.7120 0.1992  4 Te 3.00-3.04
5 Tm 0.4609 0.2880 0.6992  4 Te 3.00-3.04
6 Tm 0.4609 0.2880 0.3008  4 Te 3.00-3.04
7 Tm 0.5961 0.8406 0.0000  4 Te 2.98-3.06
8 Tm 0.0961 0.1594 0.5000  4 Te 2.98-3.06
9 Te 0.5998 0.2215 0.0000  3 Tm 2.99-3.04, 1 Ho 3.04
10 Te 0.6086 0.6426 0.7241  3 Tm 2.98-3.04, 1 Ho 3.04
11 Te 0.1086 0.3574 0.7759  3 Tm 2.98-3.04, 1 Ho 3.04
12 Te 0.1086 0.3574 0.2241  3 Tm 2.98-3.04, 1 Ho 3.04
13 Te 0.0998 0.7785 0.5000  3 Tm 2.99-3.04, 1 Ho 3.04
14 Te 0.7214 0.1548 0.5000  3 Tm 3.00-3.06, 1 Ho 3.03
15 Te 0.2214 0.8452 0.0000  3 Tm 3.00-3.06, 1 Ho 3.03
16 Te 0.6086 0.6426 0.2759  3 Tm 2.98-3.04, 1 Ho 3.04

[6]
This record from Alexandria describes Ho3Tm2Te6 after structural relaxation. The functional is GGA-PBE.

## Properties
**Magnetic moment**: 0.00 μB per formula unit
**Energy relative to the elements, uncorrected**: -1.27 eV per atom
**Uncorrected energy**: -5.047 eV/atom
**Calculated volume**: 31.58 Å³ per atom
**Symmetry**: R-3m (166)

a = 4.3293 Å, b = 4.3293 Å, c = 21.5467 Å
α = 84.23°, β = 84.23°, γ = 60.00°
With the nearest neighbours (Å) after each atom.
Fractional coordinates of all 11 atoms:
1 Te 0.1950 0.1950 0.4150  3 Tm 2.96
2 Te 0.6392 0.6392 0.0823  6 Ho 3.04-3.06
3 Te 0.3608 0.3608 0.9177  6 Ho 3.04-3.06
4 Te 0.0832 0.0832 0.7503  3 Ho 3.11, 3 Tm 3.18
5 Te 0.9168 0.9168 0.2497  3 Ho 3.11, 3 Tm 3.18
6 Te 0.8050 0.8050 0.5850  3 Tm 2.96
7 Ho 0.0000 0.0000 0.0000  6 Te 3.06
8 Ho 0.7211 0.7211 0.8368  6 Te 3.04-3.11
9 Ho 0.2789 0.2789 0.1632  6 Te 3.04-3.11
10 Tm 0.5529 0.5529 0.3412  6 Te 2.96-3.18
11 Tm 0.4471 0.4471 0.6588  6 Te 2.96-3.18